DFT (PBE-GGA) results for SmEuY2 after structural relaxation.

The value obtained for the polymorph energy (0 for the lowest one) is 0.027 eV per atom. As for the calculated formation energy: 0.086 eV per atom.

It has space group P4/mmm (No. 123), with a = 5.152 Å, b = 5.152 Å, c = 5.139 Å, α = 90.00°, β = 90.00° and γ = 90.00°. The distinct sites, in fractional coordinates, are Sm at (0.000, 0.000, 0.000), Eu at (0.500, 0.500, 0.000) and Y at (0.000, 0.500, 0.500).


DFT (PBE-GGA) results for V2CrGe after structural relaxation.

As for the calculated formation energy: 0.405 eV per atom.

It has space group I-42d (No. 122), with a = 6.735 Å, b = 6.735 Å, c = 5.028 Å, α = 90.00°, β = 90.00° and γ = 90.00°. The distinct sites, in fractional coordinates, are V at (0.212, 0.750, 0.125), Cr at (0.000, 0.000, 0.000) and Ge at (0.000, 0.000, 0.500).


DFT (PBE-GGA) results for Ba2Na3Au2 after structural relaxation.

The value obtained for the polymorph energy (0 for the lowest one) is 0.076 eV per atom. As for the calculated formation energy: -0.313 eV per atom.

It has space group P2/m (No. 10), with a = 4.680 Å, b = 4.523 Å, c = 14.456 Å, α = 90.00°, β = 99.29° and γ = 90.00°. The distinct sites, in fractional coordinates, are Ba at (0.110, 0.000, 0.210), Na at (0.292, 0.500, 0.588), Na at (0.500, 0.500, 0.000) and Au at (0.391, 0.500, 0.792).


DFT (PBE-GGA) results for CuPbW3 after structural relaxation.

The value obtained for the polymorph energy (0 for the lowest one) is 0.000 eV per atom. As for the calculated formation energy: 1.856 eV per atom.

It has space group Pm-3m (No. 221), with a = 4.596 Å, b = 4.596 Å, c = 4.596 Å, α = 90.00°, β = 90.00° and γ = 90.00°. The distinct sites, in fractional coordinates, are Cu at (0.000, 0.000, 0.000), Pb at (0.500, 0.500, 0.500) and W at (0.000, 0.000, 0.500).


DFT (PBE-GGA) results for Mn2Si2Au after structural relaxation.

For the formation energy (no corrections), the calculation gives -0.14 eV/atom.

It has space group P4/mbm (No. 127), with a = 7.038 Å, b = 7.038 Å, c = 2.707 Å, α = 90.00°, β = 90.00° and γ = 90.00°. The distinct sites, in fractional coordinates, are Mn at (0.138, 0.362, 0.000), Si at (0.154, 0.654, 0.500) and Au at (0.000, 0.000, 0.500).


DFT (PBE-GGA) results for K2MnI8 after structural relaxation.

For the formation energy (no corrections), the calculation gives -0.60 eV/atom.

It has space group P-1 (No. 2), with a = 6.357 Å, b = 8.902 Å, c = 11.139 Å, α = 85.12°, β = 74.72° and γ = 69.72°. The distinct sites, in fractional coordinates, are K at (0.071, 0.151, 0.214), Mn at (0.500, 0.500, 0.000), I at (0.072, 0.753, 0.103), I at (0.240, 0.016, 0.506), I at (0.417, 0.245, 0.896) and I at (0.468, 0.354, 0.225).


DFT (PBE-GGA) results for KTaAg after structural relaxation.

The value obtained for the polymorph energy (0 for the lowest one) is 1.548 eV per atom. As for the calculated formation energy: 2.345 eV per atom.

It has space group F-43m (No. 216), with a = 7.350 Å, b = 7.350 Å, c = 7.350 Å, α = 90.00°, β = 90.00° and γ = 90.00°. The distinct sites, in fractional coordinates, are K at (0.000, 0.000, 0.000), Ta at (0.250, 0.250, 0.250) and Ag at (0.250, 0.250, 0.750).


DFT (PBE-GGA) results for AlIn2W after structural relaxation.

As for the calculated formation energy: 0.442 eV per atom.

It has space group I4/mmm (No. 139), with a = 4.094 Å, b = 4.094 Å, c = 8.949 Å, α = 90.00°, β = 90.00° and γ = 90.00°. The distinct sites, in fractional coordinates, are Al at (0.000, 0.000, 0.000), In at (0.000, 0.500, 0.250) and W at (0.000, 0.000, 0.500).


DFT (PBE-GGA) results for Cu2AgCl5 after structural relaxation.

For the formation energy (no corrections), the calculation gives -0.43 eV/atom.

It has space group Cmcm (No. 63), with a = 4.730 Å, b = 11.584 Å, c = 16.808 Å, α = 90.00°, β = 90.00° and γ = 90.00°. The distinct sites, in fractional coordinates, are Cu at (0.000, 0.145, 0.022), Ag at (0.000, 0.065, 0.750), Cl at (0.000, 0.011, 0.600), Cl at (0.000, 0.323, 0.534) and Cl at (0.000, 0.373, 0.250).


DFT (PBE-GGA) results for H2RuW after structural relaxation.

The value obtained for the polymorph energy (0 for the lowest one) is 0.084 eV per atom.

It has space group R3m (No. 160, hexagonal axes), with a = 2.8379 Å, b = 2.8379 Å, c = 15.1460 Å, α = 90.00°, β = 90.00° and γ = 120.00°. The distinct sites, in fractional coordinates, are H at (0.0000, 0.0000, 0.0000), H at (0.0000, 0.0000, 0.1821), Ru at (0.0000, 0.0000, 0.5959) and W at (0.0000, 0.0000, 0.4198).


DFT (PBE-GGA) results for Mg2TiPd2 after structural relaxation.

The value obtained for the polymorph energy (0 for the lowest one) is 0.056 eV per atom. As for the calculated formation energy: -0.364 eV per atom.

It has space group P4/mbm (No. 127), with a = 7.657 Å, b = 7.657 Å, c = 2.862 Å, α = 90.00°, β = 90.00° and γ = 90.00°. The distinct sites, in fractional coordinates, are Mg at (0.128, 0.372, 0.000), Ti at (0.000, 0.000, 0.000) and Pd at (0.172, 0.672, 0.500).


DFT (PBE-GGA) results for AcPr4Ge4 after structural relaxation.

As for the calculated formation energy: -0.531 eV per atom.

It has space group P4_2/n (No. 86, origin choice 2), with a = 9.785 Å, b = 9.785 Å, c = 6.072 Å, α = 90.00°, β = 90.00° and γ = 90.00°. The distinct sites, in fractional coordinates, are Ac at (0.250, 0.250, 0.250), Pr at (0.097, 0.643, 0.132) and Ge at (0.045, 0.597, 0.637).